# HgOsBr

An optimized crystal structure of HgOsBr (GGA-PBE, the Alexandria database).

Cell lengths 6.4977, 6.4977, 6.4977 Å; angles 90.00, 90.00, 90.00 degrees
Space group F-43m (No. 216)
Inequivalent atoms, fractional coordinates:
Hg 0.0000 0.0000 0.0000
Os 0.2500 0.2500 0.2500
Br 0.0000 0.0000 0.5000

Properties
Calculated volume (Å³ per atom): 22.9
D(E_F) (states/eV/f.u.): 2.71
ΔE to the lowest computed polymorph (kcal/mol of atoms): 9.05
Total DFT energy (no corrections) (eV per cell): -36.9